NpInAg4 | GGA-PBE | relaxed

Cell and atoms, written as CIF:
```
data_NpInAg4
_chemical_formula_sum 'Np4 In4 Ag16'
_cell_length_a 7.965
_cell_length_b 7.965
_cell_length_c 7.965
_cell_angle_alpha 90.00
_cell_angle_beta 90.00
_cell_angle_gamma 90.00
_symmetry_space_group_name_H-M 'F -4 3 m'
_symmetry_Int_Tables_number 216
_symmetry_space_group_name_Hall 'F -4 2 3'
loop_
_atom_site_label
_atom_site_type_symbol
_atom_site_fract_x
_atom_site_fract_y
_atom_site_fract_z
_atom_site_occupancy
Np1 Np 0.000 0.000 0.000 1
In1 In 0.250 0.250 0.750 1
Ag1 Ag 0.125 0.125 0.375 1
```

Properties
E_tot ... -4.394 eV/atom
N(E_F) ... 1.93 states/eV/atom